(1)
# CaGe2PdPt5 GGA-PBE optimized geometry
# Theoretical density ... 11.5 Mg/m³
# M_tot ... 0.00 μB/cell
# ΔE_f ... -8.444 kcal/mol of atoms
data_CaGe2PdPt5
_chemical_formula_sum 'Ca1 Ge2 Pd1 Pt5'
_cell_length_a 4.029
_cell_length_b 4.029
_cell_length_c 11.273
_cell_angle_alpha 90.00
_cell_angle_beta 90.00
_cell_angle_gamma 90.00
_symmetry_space_group_name_H-M 'P 4/m m m'
_symmetry_Int_Tables_number 123
_symmetry_space_group_name_Hall '-P 4 2'
loop_
_atom_site_label
_atom_site_type_symbol
_atom_site_fract_x
_atom_site_fract_y
_atom_site_fract_z
Ca1 Ca 0.000 0.000 0.000
Ge1 Ge 0.500 0.500 0.214
Pd1 Pd 0.000 0.000 0.500
Pt1 Pt 0.000 0.500 0.339
Pt2 Pt 0.500 0.500 0.000



(2)
# Ca2Ge2Pd5Pt GGA-PBE optimized geometry
# Theoretical density ... 8.8 Mg/m³
# M_tot ... 0.00 μB/cell
# ΔE_f ... -13.981 kcal/mol of atoms
data_Ca2Ge2Pd5Pt
_chemical_formula_sum 'Ca4 Ge4 Pd10 Pt2'
_cell_length_a 9.883
_cell_length_b 9.883
_cell_length_c 3.660
_cell_angle_alpha 90.00
_cell_angle_beta 90.00
_cell_angle_gamma 90.00
_symmetry_space_group_name_H-M 'P 4/m b m'
_symmetry_Int_Tables_number 127
_symmetry_space_group_name_Hall '-P 4 2ab'
loop_
_atom_site_label
_atom_site_type_symbol
_atom_site_fract_x
_atom_site_fract_y
_atom_site_fract_z
Ca1 Ca 0.175 0.325 0.000
Ge1 Ge 0.126 0.626 0.000
Pd1 Pd 0.000 0.500 0.500
Pd2 Pd 0.063 0.795 0.500
Pt1 Pt 0.000 0.000 0.000



(3)
# Ca2PuGe3Pd4 GGA-PBE optimized geometry
# Theoretical density ... 7.7 Mg/m³
# M_tot ... 5.28 μB/cell
# ΔE_f ... -14.722 kcal/mol of atoms
data_Ca2PuGe3Pd4
_chemical_formula_sum 'Ca2 Pu1 Ge3 Pd4'
_cell_length_a 4.292
_cell_length_b 4.292
_cell_length_c 11.275
_cell_angle_alpha 90.00
_cell_angle_beta 90.00
_cell_angle_gamma 90.00
_symmetry_space_group_name_H-M 'P -4 m 2'
_symmetry_Int_Tables_number 115
_symmetry_space_group_name_Hall 'P -4 -2'
loop_
_atom_site_label
_atom_site_type_symbol
_atom_site_fract_x
_atom_site_fract_y
_atom_site_fract_z
Ca1 Ca 0.000 0.500 0.226
Pu1 Pu 0.000 0.000 0.500
Ge1 Ge 0.000 0.500 0.879
Ge2 Ge 0.500 0.500 0.500
Pd1 Pd 0.000 0.000 0.000
Pd2 Pd 0.000 0.500 0.662
Pd3 Pd 0.500 0.500 0.000



(4)
# CaPuGePd GGA-PBE optimized geometry
# Theoretical density ... 8.5 Mg/m³
# M_tot ... 20.32 μB/cell
# ΔE_f ... -10.408 kcal/mol of atoms
data_CaPuGePd
_chemical_formula_sum 'Ca4 Pu4 Ge4 Pd4'
_cell_length_a 7.131
_cell_length_b 7.131
_cell_length_c 7.131
_cell_angle_alpha 90.00
_cell_angle_beta 90.00
_cell_angle_gamma 90.00
_symmetry_space_group_name_H-M 'F -4 3 m'
_symmetry_Int_Tables_number 216
_symmetry_space_group_name_Hall 'F -4 2 3'
loop_
_atom_site_label
_atom_site_type_symbol
_atom_site_fract_x
_atom_site_fract_y
_atom_site_fract_z
Ca1 Ca 0.000 0.000 0.000
Pu1 Pu 0.000 0.000 0.500
Ge1 Ge 0.250 0.250 0.750
Pd1 Pd 0.250 0.250 0.250